A | Crystalline Dy2ErPb at its relaxed geometry, computed with PBE.

Lattice parameters (Å, degrees): 3.6134 3.6134 9.2411 90.00 90.00 90.00
Closest atoms and distances in Å follow each position.
Fractional positions:
Er: 0.5000 0.5000 0.5000  8 Dy 3.53, 4 Er 3.61
Pb: 0.5000 0.5000 0.0000  8 Dy 3.37, 4 Pb 3.61
Dy: 0.0000 0.0000 0.7630  4 Pb 3.37, 4 Er 3.53, 4 Dy 3.61
Dy: 0.0000 0.0000 0.2370  4 Pb 3.37, 4 Er 3.53, 4 Dy 3.61

For the density of states at the Fermi level, the calculation gives 3.734 states/eV per cell. The total magnetization is 0.000 μB per atom. Its space-group type is P4/mmm, No. 123.

---

B | Crystalline Dy2ErPb at its relaxed geometry, computed with PBE.

Lattice parameters (Å, degrees): 5.2146 5.2146 6.3945 65.94 65.94 60.00
Closest atoms and distances in Å follow each position.
Fractional positions:
Er: 0.4891 0.4891 0.5328  1 Pb 3.34, 7 Dy 3.48-3.68
Pb: 0.6867 0.6867 0.9399  6 Dy 3.06-3.31, 1 Er 3.34
Dy: 0.2714 0.2714 0.1858  3 Pb 3.31, 4 Dy 3.58-3.70, 4 Er 3.59-3.68
Dy: 0.0528 0.0528 0.8415  3 Pb 3.06

For the density of states at the Fermi level, the calculation gives 5.298 states/eV per cell. The total magnetization is 0.000 μB per atom. Its space-group type is R3m, No. 160.

---

C | Crystalline Dy2ErPb at its relaxed geometry, computed with PBE.

Lattice parameters (Å, degrees): 4.8492 4.8342 4.8342 90.00 90.00 90.00
Closest atoms and distances in Å follow each position.
Fractional positions:
Pb: 0.5000 0.0000 0.0000  4 Er 3.42, 8 Dy 3.42
Dy: 0.0000 0.5000 0.0000  4 Dy 3.42, 4 Er 3.42, 4 Pb 3.42
Er: 0.5000 0.5000 0.5000  4 Pb 3.42, 8 Dy 3.42
Dy: 0.0000 0.0000 0.5000  4 Dy 3.42, 4 Pb 3.42, 4 Er 3.42

For the density of states at the Fermi level, the calculation gives 5.028 states/eV per cell. The total magnetization is 0.001 μB per atom. Its space-group type is P4/mmm, No. 123.

---

Q: What are the energies relative to the best structure? A: A 64; B 326; C 0, in meV per atom.